UFePdO6 after structural relaxation. Source: Alexandria via LeMat-Bulk, functional GGA+U.

Cell lengths 5.244, 5.244, 9.224 Å; angles 90.00, 90.00, 120.00 degrees
Fractional coordinates of all 18 atoms:
U 0.333 0.667 0.250
U 0.667 0.333 0.750
Fe 0.000 0.000 0.000
Fe 0.000 0.000 0.500
Pd 0.333 0.667 0.750
Pd 0.667 0.333 0.250
O 0.003 0.327 0.125
O 0.003 0.675 0.375
O 0.325 0.327 0.375
O 0.325 0.997 0.125
O 0.327 0.003 0.625
O 0.327 0.325 0.875
O 0.673 0.675 0.125
O 0.673 0.997 0.375
O 0.675 0.003 0.875
O 0.675 0.673 0.625
O 0.997 0.325 0.625
O 0.997 0.673 0.875

Summary:
- Density of states at the Fermi level: 3.27 states/eV/f.u.
- Calculated total energy: -135.6 eV per cell